Entry 1:
14
Lattice="-4.0415 4.0415 4.2419 4.0415 -4.0415 4.2419 4.0415 4.0415 -4.2419" Properties=species:S:1:pos:R:3 comment="GGA-PBE ErPd2Au4, optimized geometry" formation_energy_ev_per_atom=-0.3008 dft_energy_ev_per_atom=-4.309 magnetic_moment_mub_per_cell=0.00 pbc="T T T"
Er 0.0000 0.0000 0.0000
Er 0.0000 4.0415 2.1210
Pd 2.0207 -1.3675 3.1814
Pd 2.6740 2.0207 1.0605
Pd 2.0207 5.4090 -1.0605
Pd 1.3675 2.0207 5.3024
Au 5.2728 0.6684 0.6226
Au 3.3730 2.8102 -1.4984
Au 0.6684 2.8102 -0.6226
Au 0.6684 1.2313 2.7435
Au 3.3730 1.2313 3.6193
Au 1.2313 -0.6684 5.7403
Au 2.8102 4.7099 1.4984
Au -1.2313 3.3730 4.8645

Entry 2:
10
Lattice="4.4685 0.0000 0.0000 0.0000 5.9054 0.0000 0.0000 0.0000 7.1169" Properties=species:S:1:pos:R:3 comment="GGA-PBE ErPd3Au, optimized geometry" formation_energy_ev_per_atom=-0.5681 dft_energy_ev_per_atom=-5.252 magnetic_moment_mub_per_cell=0.00 pbc="T T T"
Er 1.1171 1.4764 1.3910
Er 3.3514 4.4291 5.7259
Pd 1.1171 0.1579 5.3632
Pd 1.1171 2.7948 5.3632
Pd 1.1171 4.4291 0.4997
Pd 3.3514 1.4764 6.6172
Pd 3.3514 3.1106 1.7537
Pd 3.3514 5.7476 1.7537
Au 1.1171 4.4291 3.1826
Au 3.3514 1.4764 3.9343

Entry 3:
4
Lattice="0.0000 3.6178 3.6178 3.6178 0.0000 3.6178 3.6178 3.6178 0.0000" Properties=species:S:1:pos:R:3 comment="GGA-PBE PrErPdAu, optimized geometry" formation_energy_ev_per_atom=-0.7909 dft_energy_ev_per_atom=-5.244 magnetic_moment_mub_per_cell=0.00 pbc="T T T"
Pr 0.0000 0.0000 0.0000
Er 3.6178 3.6178 3.6178
Pd 5.4268 5.4268 5.4268
Au 1.8089 1.8089 1.8089

Entry 4:
4
Lattice="4.7661 0.0000 0.0000 0.0000 1.9125 5.3724 0.0000 -1.9125 5.3724" Properties=species:S:1:pos:R:3 comment="GGA-PBE PrErPdAu, optimized geometry" formation_energy_ev_per_atom=-0.8375 dft_energy_ev_per_atom=-5.291 magnetic_moment_mub_per_cell=0.00 pbc="T T T"
Pr 0.0000 0.0000 0.0000
Er 2.3830 0.0000 7.7804
Pd 0.0000 0.0000 2.9274
Au 2.3830 0.0000 4.7477

Entry 5:
10
Lattice="6.4914 0.0000 0.0000 0.0000 4.2458 0.0000 -1.1045 0.0000 6.6559" Properties=species:S:1:pos:R:3 comment="GGA-PBE ErPd2PtAu, optimized geometry" formation_energy_ev_per_atom=-0.6455 dft_energy_ev_per_atom=-5.499 magnetic_moment_mub_per_cell=0.00 pbc="T T T"
Er 1.0034 1.0614 1.4898
Er 4.3835 3.1843 5.1660
Pd 0.5061 3.1843 3.5801
Pd 2.3784 1.0614 4.2197
Pd 3.0084 3.1843 2.4362
Pd 4.8808 1.0614 3.0758
Pt -0.1116 1.0614 5.2844
Pt 5.4985 3.1843 1.3715
Au 1.3390 3.1843 6.2568
Au 4.0479 1.0614 0.3991

Entry 6:
4
Lattice="0.0000 3.5613 3.5613 3.5613 0.0000 3.5613 3.5613 3.5613 0.0000" Properties=species:S:1:pos:R:3 comment="GGA-PBE ErPuPdAu, optimized geometry" formation_energy_ev_per_atom=-0.5953 dft_energy_ev_per_atom=-7.437 magnetic_moment_mub_per_cell=5.68 pbc="T T T"
Er 0.0000 0.0000 0.0000
Pu 3.5613 3.5613 3.5613
Pd 1.7807 1.7807 1.7807
Au 5.3420 5.3420 5.3420